[1]
## BaTc2Mo (SCAN)

Data for BaTc2Mo at its PBEsol-relaxed geometry. Values from VASP.

The structure in Quantum ESPRESSO input format:
```
&SYSTEM
  ibrav = 0, nat = 4, ntyp = 3
/
ATOMIC_SPECIES
Ba 137.33 Ba.upf
Tc 98.00 Tc.upf
Mo 95.94 Mo.upf
CELL_PARAMETERS angstrom
-1.5295 2.6669 4.7045
1.5295 -2.6669 4.7045
1.5295 2.6669 -4.7045
ATOMIC_POSITIONS angstrom
Ba 0.0000 0.0000 0.0000
Tc 1.5295 0.0000 2.6917
Tc 0.0000 2.6669 2.0128
Mo 0.0000 0.0000 4.7045
```

Summary:
N(E_F)	0.774	states/eV/atom
density	9.3	g cm⁻³
DFT total energy	-34.941	eV per atom
total magnetization	0.00	μB per formula unit
symmetry	Immm (71)
formation energy from the elements	1.20	eV/atom

=====

[2]
## Y2TcBr (SCAN)

Data for Y2TcBr at its PBEsol-relaxed geometry. Values from VASP.

The structure in Quantum ESPRESSO input format:
```
&SYSTEM
  ibrav = 0, nat = 4, ntyp = 3
/
ATOMIC_SPECIES
Y 88.91 Y.upf
Tc 98.00 Tc.upf
Br 79.90 Br.upf
CELL_PARAMETERS angstrom
2.6442 -2.2031 0.0000
2.6442 2.2031 0.0000
-1.4181 0.0000 7.9460
ATOMIC_POSITIONS angstrom
Y -0.0028 0.0000 1.6386
Y 3.8732 0.0000 6.3073
Tc 2.6442 0.0000 0.0000
Br 1.9352 0.0000 3.9730
```

Summary:
N(E_F)	0.354	states/eV/atom
density	6.4	g cm⁻³
DFT total energy	-28.242	eV per atom
formation energy without anion corrections	-0.690	eV/atom
total magnetization	0.00	μB per formula unit
symmetry	C2/m (12)

=====

[3]
## BaNi2Ir (SCAN)

Data for BaNi2Ir at its PBEsol-relaxed geometry. Values from VASP.

The structure in Quantum ESPRESSO input format:
```
&SYSTEM
  ibrav = 0, nat = 4, ntyp = 3
/
ATOMIC_SPECIES
Ba 137.33 Ba.upf
Ni 58.69 Ni.upf
Ir 192.22 Ir.upf
CELL_PARAMETERS angstrom
2.0899 1.2066 5.3646
-2.0899 1.2066 5.3646
0.0000 -2.4133 5.3646
ATOMIC_POSITIONS angstrom
Ba 0.0000 0.0000 0.0000
Ni 0.0000 0.0000 2.9337
Ni 0.0000 0.0000 13.1602
Ir 0.0000 0.0000 8.0469
```

Summary:
N(E_F)	0.900	states/eV/atom
density	9.1	g cm⁻³
DFT total energy	-35.891	eV per atom
total magnetization	0.81	μB per formula unit
symmetry	R-3m (166)
formation energy from the elements	-0.14	eV/atom

=====

[4]
## KTa2Se (SCAN)

Data for KTa2Se at its PBEsol-relaxed geometry. Values from VASP.

The structure in Quantum ESPRESSO input format:
```
&SYSTEM
  ibrav = 0, nat = 4, ntyp = 3
/
ATOMIC_SPECIES
K 39.10 K.upf
Ta 180.95 Ta.upf
Se 78.96 Se.upf
CELL_PARAMETERS angstrom
3.9999 0.0000 0.0000
0.0000 3.9999 0.0000
0.0000 0.0000 5.2048
ATOMIC_POSITIONS angstrom
K 0.0000 0.0000 0.0000
Ta 0.0000 1.9999 2.6024
Ta 1.9999 0.0000 2.6024
Se 1.9999 1.9999 0.0000
```

Summary:
N(E_F)	0.951	states/eV/atom
density	9.6	g cm⁻³
DFT total energy	-39.367	eV per atom
formation energy without anion corrections	1.027	eV/atom
total magnetization	0.00	μB per formula unit
symmetry	P4/mmm (123)

=====

[5]
## CaCrCo (SCAN)

Data for CaCrCo at its PBEsol-relaxed geometry. Values from VASP.

The structure in Quantum ESPRESSO input format:
```
&SYSTEM
  ibrav = 0, nat = 3, ntyp = 3
/
ATOMIC_SPECIES
Ca 40.08 Ca.upf
Cr 52.00 Cr.upf
Co 58.93 Co.upf
CELL_PARAMETERS angstrom
0.0000 3.0551 3.0551
3.0551 0.0000 3.0551
3.0551 3.0551 0.0000
ATOMIC_POSITIONS angstrom
Ca 0.0000 0.0000 0.0000
Cr 3.0551 3.0551 3.0551
Co 4.5826 4.5826 4.5826
```

Summary:
N(E_F)	1.569	states/eV/atom
density	4.4	g cm⁻³
DFT total energy	-14.328	eV per atom
total magnetization	3.02	μB per formula unit
symmetry	F-43m (216)
formation energy from the elements	0.79	eV/atom

=====

[6]
## Nb3Sn (SCAN)

Data for Nb3Sn at its PBEsol-relaxed geometry. Values from VASP.

The structure in Quantum ESPRESSO input format:
```
&SYSTEM
  ibrav = 0, nat = 8, ntyp = 2
/
ATOMIC_SPECIES
Nb 92.91 Nb.upf
Sn 118.71 Sn.upf
CELL_PARAMETERS angstrom
5.2676 0.0000 0.0000
0.0000 5.2676 0.0000
0.0000 0.0000 5.2676
ATOMIC_POSITIONS angstrom
Nb 0.0000 1.3169 2.6338
Nb 0.0000 3.9507 2.6338
Nb 1.3169 2.6338 0.0000
Nb 2.6338 0.0000 1.3169
Nb 2.6338 0.0000 3.9507
Nb 3.9507 2.6338 0.0000
Sn 0.0000 0.0000 0.0000
Sn 2.6338 2.6338 2.6338
```

Summary:
N(E_F)	1.577	states/eV/atom
density	9.0	g cm⁻³
DFT total energy	-34.090	eV per atom
total magnetization	0.00	μB per formula unit
symmetry	Pm-3n (223)
formation energy from the elements	-0.26	eV/atom

=====

[7]
## Al3SnO (SCAN)

Data for Al3SnO at its PBEsol-relaxed geometry. Values from VASP.

The structure in Quantum ESPRESSO input format:
```
&SYSTEM
  ibrav = 0, nat = 5, ntyp = 3
/
ATOMIC_SPECIES
Al 26.98 Al.upf
Sn 118.71 Sn.upf
O 16.00 O.upf
CELL_PARAMETERS angstrom
5.1732 0.0000 0.0000
0.0000 5.1732 0.0000
0.0000 0.0000 5.1732
ATOMIC_POSITIONS angstrom
Al 0.0000 0.0000 2.5866
Al 0.0000 2.5866 0.0000
Al 2.5866 0.0000 0.0000
Sn 0.0000 0.0000 0.0000
O 2.5866 2.5866 2.5866
```

Summary:
N(E_F)	0.655	states/eV/atom
density	2.6	g cm⁻³
DFT total energy	-11.819	eV per atom
formation energy without anion corrections	1.263	eV/atom
total magnetization	0.00	μB per formula unit
symmetry	Pm-3m (221)

=====

[8]
## SbRuI2Cl (SCAN)

Data for SbRuI2Cl at its PBEsol-relaxed geometry. Values from VASP.

The structure in Quantum ESPRESSO input format:
```
&SYSTEM
  ibrav = 0, nat = 5, ntyp = 4
/
ATOMIC_SPECIES
Sb 121.76 Sb.upf
Ru 101.07 Ru.upf
I 126.90 I.upf
Cl 35.45 Cl.upf
CELL_PARAMETERS angstrom
5.3087 0.0000 0.0000
0.0000 5.3087 0.0000
0.0000 0.0000 5.0140
ATOMIC_POSITIONS angstrom
Sb 0.0000 0.0000 0.0000
Ru 0.0000 0.0000 2.5070
I 0.0000 2.6543 2.5070
I 2.6543 0.0000 2.5070
Cl 2.6543 2.6543 0.0000
```

Summary:
N(E_F)	1.146	states/eV/atom
density	6.0	g cm⁻³
DFT total energy	-30.396	eV per atom
formation energy without anion corrections	0.313	eV/atom
total magnetization	1.23	μB per formula unit
symmetry	P4/mmm (123)

=====

[9]
## TcB2SbW (SCAN)

Data for TcB2SbW at its PBEsol-relaxed geometry. Values from VASP.

The structure in Quantum ESPRESSO input format:
```
&SYSTEM
  ibrav = 0, nat = 5, ntyp = 4
/
ATOMIC_SPECIES
Tc 98.00 Tc.upf
B 10.81 B.upf
Sb 121.76 Sb.upf
W 183.84 W.upf
CELL_PARAMETERS angstrom
3.9867 0.0000 0.0000
0.0000 3.9867 0.0000
0.0000 0.0000 5.2608
ATOMIC_POSITIONS angstrom
Tc 0.0000 0.0000 0.0000
B 0.0000 1.9933 0.0000
B 1.9933 0.0000 0.0000
Sb 0.0000 0.0000 2.6304
W 1.9933 1.9933 2.6304
```

Summary:
N(E_F)	1.003	states/eV/atom
density	8.4	g cm⁻³
DFT total energy	-29.702	eV per atom
formation energy without anion corrections	1.671	eV/atom
total magnetization	2.81	μB per formula unit
symmetry	P4/mmm (123)

=====

[10]
## K2SrRu (SCAN)

Data for K2SrRu at its PBEsol-relaxed geometry. Values from VASP.

The structure in Quantum ESPRESSO input format:
```
&SYSTEM
  ibrav = 0, nat = 4, ntyp = 3
/
ATOMIC_SPECIES
K 39.10 K.upf
Sr 87.62 Sr.upf
Ru 101.07 Ru.upf
CELL_PARAMETERS angstrom
3.4161 0.0000 0.0000
0.0000 3.4161 0.0000
0.0000 0.0000 12.2891
ATOMIC_POSITIONS angstrom
K 0.0000 0.0000 2.2797
K 0.0000 0.0000 10.0093
Sr 1.7080 1.7080 6.1445
Ru 1.7080 1.7080 0.0000
```

Summary:
N(E_F)	0.824	states/eV/atom
density	3.1	g cm⁻³
DFT total energy	-17.368	eV per atom
total magnetization	2.47	μB per formula unit
symmetry	P4/mmm (123)
formation energy from the elements	1.07	eV/atom

=====

[11]
## Hg2PCl (SCAN)

Data for Hg2PCl at its PBEsol-relaxed geometry. Values from VASP.

The structure in Quantum ESPRESSO input format:
```
&SYSTEM
  ibrav = 0, nat = 4, ntyp = 3
/
ATOMIC_SPECIES
Hg 200.59 Hg.upf
P 30.97 P.upf
Cl 35.45 Cl.upf
CELL_PARAMETERS angstrom
1.9774 1.1417 6.5443
-1.9774 1.1417 6.5443
0.0000 -2.2834 6.5443
ATOMIC_POSITIONS angstrom
Hg 0.0000 0.0000 4.6296
Hg 0.0000 0.0000 15.0034
P 0.0000 0.0000 9.8165
Cl 0.0000 0.0000 0.0000
```

Summary:
N(E_F)	0.286	states/eV/atom
density	8.8	g cm⁻³
DFT total energy	-38.677	eV per atom
formation energy without anion corrections	0.000	eV/atom
total magnetization	0.00	μB per formula unit
symmetry	R-3m (166)

=====

[12]
## TlMoP3 (SCAN)

Data for TlMoP3 at its PBEsol-relaxed geometry. Values from VASP.

The structure in Quantum ESPRESSO input format:
```
&SYSTEM
  ibrav = 0, nat = 5, ntyp = 3
/
ATOMIC_SPECIES
Tl 204.38 Tl.upf
Mo 95.94 Mo.upf
P 30.97 P.upf
CELL_PARAMETERS angstrom
4.7077 0.0000 0.0000
0.0000 4.7077 0.0000
0.0000 0.0000 4.7077
ATOMIC_POSITIONS angstrom
Tl 0.0000 0.0000 0.0000
Mo 2.3538 2.3538 2.3538
P 0.0000 2.3538 2.3538
P 2.3538 0.0000 2.3538
P 2.3538 2.3538 0.0000
```

Summary:
N(E_F)	0.728	states/eV/atom
density	6.3	g cm⁻³
DFT total energy	-27.310	eV per atom
total magnetization	0.00	μB per formula unit
symmetry	Pm-3m (221)
formation energy from the elements	0.38	eV/atom

=====

> The lowest density belongs to which entry?

Al3SnO